# 1
Here is a relaxed LiErPbF6 crystal from Alexandria. Energies are from PBE-GGA.

Total DFT energy (no corrections) (eV/atom): -5.65

a = 5.573 Å, b = 5.573 Å, c = 10.671 Å
α = 90.00°, β = 90.00°, γ = 120.00°
Fractional positions:
1 Li 0.667 0.333 0.250
2 Li 0.333 0.667 0.750
3 Er 0.333 0.667 0.250
4 Er 0.667 0.333 0.750
5 Pb 0.000 0.000 0.000
6 Pb 0.000 0.000 0.500
7 F 0.646 0.637 0.141
8 F 0.991 0.354 0.141
9 F 0.354 0.991 0.641
10 F 0.009 0.646 0.859
11 F 0.363 0.354 0.359
12 F 0.991 0.637 0.359
13 F 0.637 0.991 0.859
14 F 0.646 0.009 0.359
15 F 0.009 0.363 0.641
16 F 0.363 0.009 0.141
17 F 0.637 0.646 0.641
18 F 0.354 0.363 0.859


# 2
Here is a relaxed RbLiErF6 crystal from Alexandria. Energies are from PBE-GGA.

Total DFT energy (no corrections) (eV/atom): -5.16

a = 7.526 Å, b = 7.474 Å, c = 7.126 Å
α = 121.62°, β = 121.88°, γ = 90.00°
Each line ends with the local moment (μB).
Fractional positions:
1 Rb 0.832 0.582 0.664  0.00
2 Rb 0.168 0.418 0.336  0.00
3 Li 0.500 0.500 0.000  0.00
4 Li 0.500 0.000 0.000  0.00
5 Er 0.500 0.000 0.500  -0.02
6 Er 0.000 0.000 0.500  -0.02
7 F 0.599 0.849 0.198  0.01
8 F 0.873 0.123 0.745  0.00
9 F 0.846 0.142 0.260  0.23
10 F 0.414 0.618 0.260  0.23
11 F 0.414 0.142 0.260  0.23
12 F 0.846 0.618 0.260  0.23
13 F 0.401 0.151 0.802  0.01
14 F 0.127 0.877 0.255  0.00
15 F 0.154 0.858 0.740  0.23
16 F 0.586 0.382 0.740  0.23
17 F 0.586 0.858 0.740  0.23
18 F 0.154 0.382 0.740  0.23


# 3
Here is a relaxed LiErTl2F6 crystal from Alexandria. Energies are from PBE-GGA.

Total DFT energy (no corrections) (eV/atom): -5.19

a = 6.106 Å, b = 6.107 Å, c = 8.643 Å
α = 90.00°, β = 90.00°, γ = 90.00°
Fractional positions:
1 Li 0.500 0.000 0.500
2 Li 0.000 0.500 0.000
3 Er 0.500 0.000 0.000
4 Er 0.000 0.500 0.500
5 Tl 0.000 0.000 0.250
6 Tl 0.500 0.500 0.750
7 Tl 0.000 0.000 0.750
8 Tl 0.500 0.500 0.250
9 F 0.249 0.749 0.001
10 F 0.749 0.751 0.501
11 F 0.751 0.251 0.999
12 F 0.251 0.249 0.499
13 F 0.251 0.751 0.499
14 F 0.751 0.749 0.999
15 F 0.749 0.249 0.501
16 F 0.249 0.251 0.001
17 F 0.999 0.500 0.249
18 F 0.499 0.000 0.749
19 F 0.001 0.500 0.751
20 F 0.501 0.000 0.251


Q: Which formula does entry 3 have?
A: LiErTl2F6


Q: The highest total DFT energy (no corrections) belongs to which entry?
A: RbLiErF6


Q: Which of these has the lowest total DFT energy (no corrections)?
A: LiErPbF6


Repeat the first record exactly.
Here is a relaxed LiErPbF6 crystal from Alexandria. Energies are from PBE-GGA.

Total DFT energy (no corrections) (eV/atom): -5.65

a = 5.573 Å, b = 5.573 Å, c = 10.671 Å
α = 90.00°, β = 90.00°, γ = 120.00°
Fractional positions:
1 Li 0.667 0.333 0.250
2 Li 0.333 0.667 0.750
3 Er 0.333 0.667 0.250
4 Er 0.667 0.333 0.750
5 Pb 0.000 0.000 0.000
6 Pb 0.000 0.000 0.500
7 F 0.646 0.637 0.141
8 F 0.991 0.354 0.141
9 F 0.354 0.991 0.641
10 F 0.009 0.646 0.859
11 F 0.363 0.354 0.359
12 F 0.991 0.637 0.359
13 F 0.637 0.991 0.859
14 F 0.646 0.009 0.359
15 F 0.009 0.363 0.641
16 F 0.363 0.009 0.141
17 F 0.637 0.646 0.641
18 F 0.354 0.363 0.859